Below is a geometry-optimized SrMn2ReO8 structure, with properties calculated at the GGA+U level.

The structure in CIF format:
```
data_SrMn2ReO8
_chemical_formula_sum 'Sr1 Mn2 Re1 O8'
_symmetry_space_group_name_H-M 'P -1'
_symmetry_Int_Tables_number 2
_cell_length_a 4.9210
_cell_length_b 4.9287
_cell_length_c 6.8480
_cell_angle_alpha 81.24
_cell_angle_beta 80.83
_cell_angle_gamma 80.51
loop_
_symmetry_equiv_pos_as_xyz
'x,y,z'
'-x,-y,-z'
loop_
_atom_site_label
_atom_site_type_symbol
_atom_site_fract_x
_atom_site_fract_y
_atom_site_fract_z
_atom_site_occupancy
Sr1 Sr 0.0000 0.0000 0.0000 1
Mn1 Mn 0.4579 0.4586 0.2245 1
Re1 Re 0.0000 0.0000 0.5000 1
O1 O 0.2122 0.7956 0.6969 1
O2 O 0.2169 0.7993 0.2986 1
O3 O 0.2466 0.2631 0.4424 1
O4 O 0.3301 0.3497 0.9954 1
```

Total magnetic moment   6.99 Bohr magnetons per cell
Crystal system   triclinic
Calculated density   5.30 g/cm³
E_tot   -0.5406 Ry/atom